[1]
Computed, not measured: ZrNbSbBr2 after structural relaxation at the PBE level of DFT.

The space group is P4/mmm (No. 123) and the conventional cell measures 5.116, 5.116 and 5.925 Å, with angles of 90.00, 90.00 and 90.00 degrees. Symmetry generates all atoms from Zr at (0.000, 0.000, 0.000), Nb at (0.500, 0.500, 0.500), Sb at (0.000, 0.000, 0.500) and Br at (0.000, 0.500, 0.000).

Its density of states at the Fermi level is 10.68 states/eV per cell. The magnetization comes out at 0.714 μB per atom. The final energy is -24.2 eV per cell.

[2]
Computed, not measured: ScNb2Br after structural relaxation at the PBE level of DFT.

The space group is I-42d (No. 122) and the conventional cell measures 3.886, 3.886 and 21.734 Å, with angles of 90.00, 90.00 and 90.00 degrees. Symmetry generates all atoms from Sc at (0.000, 0.000, 0.000), Nb at (0.250, 0.250, 0.125) and Br at (0.000, 0.000, 0.500).

For the distance to the lowest polymorph of the same formula, the calculation gives 0 meV per atom. Its density of states at the Fermi level is 15.55 states/eV per cell. The magnetization comes out at 0.000 μB per atom. The final energy is -107.3 eV per cell.

[3]
Computed, not measured: ScNbBr2 after structural relaxation at the PBE level of DFT.

The space group is Fm-3m (No. 225) and the conventional cell measures 6.770, 6.770 and 6.770 Å, with angles of 90.00, 90.00 and 90.00 degrees. Symmetry generates all atoms from Sc at (0.000, 0.000, 0.000), Nb at (0.000, 0.000, 0.500) and Br at (0.250, 0.250, 0.250).

For the distance to the lowest polymorph of the same formula, the calculation gives 327 meV per atom. Its density of states at the Fermi level is 16.70 states/eV per cell. The magnetization comes out at 0.451 μB per atom. The final energy is -79.0 eV per cell.

[4]
Computed, not measured: ScNbBr2 after structural relaxation at the PBE level of DFT.

The space group is I-42d (No. 122) and the conventional cell measures 4.602, 4.602 and 17.459 Å, with angles of 90.00, 90.00 and 90.00 degrees. Symmetry generates all atoms from Sc at (0.000, 0.000, 0.000), Nb at (0.000, 0.000, 0.500) and Br at (0.240, 0.250, 0.625).

For the distance to the lowest polymorph of the same formula, the calculation gives 241 meV per atom. Its density of states at the Fermi level is 21.29 states/eV per cell. The magnetization comes out at 0.084 μB per atom. The final energy is -80.3 eV per cell.

[5]
Computed, not measured: ScNbBr3 after structural relaxation at the PBE level of DFT.

The space group is Pm-3m (No. 221) and the conventional cell measures 5.287, 5.287 and 5.287 Å, with angles of 90.00, 90.00 and 90.00 degrees. Symmetry generates all atoms from Sc at (0.000, 0.000, 0.000), Nb at (0.500, 0.500, 0.500) and Br at (0.000, 0.000, 0.500).

For the distance to the lowest polymorph of the same formula, the calculation gives 0 meV per atom. Its density of states at the Fermi level is 9.43 states/eV per cell. The magnetization comes out at 0.991 μB per atom. The final energy is -21.8 eV per cell.

[6]
Computed, not measured: ScNbBr2 after structural relaxation at the PBE level of DFT.

The space group is R-3m (No. 166, hexagonal axes) and the conventional cell measures 3.2946, 3.2946 and 27.6906 Å, with angles of 90.00, 90.00 and 120.00 degrees. Symmetry generates all atoms from Sc at (0.0000, 0.0000, 0.0000), Nb at (0.0000, 0.0000, 0.5000) and Br at (0.0000, 0.0000, 0.4038).

For the distance to the lowest polymorph of the same formula, the calculation gives 0 meV per atom. Its density of states at the Fermi level is 7.70 states/eV per cell. The magnetization comes out at 0.000 μB per atom. The final energy is -63.1 eV per cell.

[7]
Computed, not measured: ScNb2Br after structural relaxation at the PBE level of DFT.

The space group is Fm-3m (No. 225) and the conventional cell measures 6.740, 6.740 and 6.740 Å, with angles of 90.00, 90.00 and 90.00 degrees. Symmetry generates all atoms from Sc at (0.000, 0.000, 0.000), Nb at (0.250, 0.250, 0.250) and Br at (0.000, 0.000, 0.500).

For the distance to the lowest polymorph of the same formula, the calculation gives 494 meV per atom. Its density of states at the Fermi level is 27.47 states/eV per cell. The magnetization comes out at 0.000 μB per atom. The final energy is -99.4 eV per cell.

[8]
Computed, not measured: ScNbBr3 after structural relaxation at the PBE level of DFT.

The space group is Pm-3m (No. 221) and the conventional cell measures 5.358, 5.358 and 5.358 Å, with angles of 90.00, 90.00 and 90.00 degrees. Symmetry generates all atoms from Sc at (0.000, 0.000, 0.000), Nb at (0.500, 0.500, 0.500) and Br at (0.000, 0.500, 0.500).

For the distance to the lowest polymorph of the same formula, the calculation gives 107 meV per atom. Its density of states at the Fermi level is 9.46 states/eV per cell. The magnetization comes out at 0.984 μB per atom. The final energy is -21.3 eV per cell.

[9]
Computed, not measured: ScNbSe2Br after structural relaxation at the PBE level of DFT.

The space group is P4/mmm (No. 123) and the conventional cell measures 5.071, 5.071 and 5.104 Å, with angles of 90.00, 90.00 and 90.00 degrees. Symmetry generates all atoms from Sc at (0.000, 0.000, 0.000), Nb at (0.500, 0.500, 0.500), Se at (0.000, 0.500, 0.500) and Br at (0.500, 0.500, 0.000).

For the distance to the lowest polymorph of the same formula, the calculation gives 0 meV per atom. Its density of states at the Fermi level is 4.79 states/eV per cell. The magnetization comes out at 0.306 μB per atom. The final energy is -26.3 eV per cell.

[10]
Computed, not measured: ScNbSeBr2 after structural relaxation at the PBE level of DFT.

The space group is P4/mmm (No. 123) and the conventional cell measures 5.163, 5.163 and 5.285 Å, with angles of 90.00, 90.00 and 90.00 degrees. Symmetry generates all atoms from Sc at (0.000, 0.000, 0.000), Nb at (0.500, 0.500, 0.500), Se at (0.000, 0.000, 0.500) and Br at (0.000, 0.500, 0.000).

For the distance to the lowest polymorph of the same formula, the calculation gives 0 meV per atom. Its density of states at the Fermi level is 6.51 states/eV per cell. The magnetization comes out at 0.785 μB per atom. The final energy is -23.9 eV per cell.

[11]
Computed, not measured: ScNbSe2Br after structural relaxation at the PBE level of DFT.

The space group is P4/mmm (No. 123) and the conventional cell measures 5.187, 5.187 and 5.006 Å, with angles of 90.00, 90.00 and 90.00 degrees. Symmetry generates all atoms from Sc at (0.000, 0.000, 0.000), Nb at (0.500, 0.500, 0.500), Se at (0.000, 0.500, 0.000) and Br at (0.000, 0.000, 0.500).

For the distance to the lowest polymorph of the same formula, the calculation gives 122 meV per atom. Its density of states at the Fermi level is 4.96 states/eV per cell. The magnetization comes out at 0.601 μB per atom. The final energy is -25.7 eV per cell.

[12]
Computed, not measured: ScNbSeBr2 after structural relaxation at the PBE level of DFT.

The space group is P4/mmm (No. 123) and the conventional cell measures 5.189, 5.189 and 5.094 Å, with angles of 90.00, 90.00 and 90.00 degrees. Symmetry generates all atoms from Sc at (0.000, 0.000, 0.000), Nb at (0.500, 0.500, 0.500), Se at (0.500, 0.500, 0.000) and Br at (0.000, 0.500, 0.500).

For the distance to the lowest polymorph of the same formula, the calculation gives 28 meV per atom. Its density of states at the Fermi level is 5.57 states/eV per cell. The magnetization comes out at 0.506 μB per atom. The final energy is -23.8 eV per cell.

Number 1: raw formation energy 0.3725 eV/atom. Number 2: raw formation energy 0.3274 eV/atom. Number 3: raw formation energy 0.0022 eV/atom. Number 4: raw formation energy -0.0846 eV/atom. Number 5: raw formation energy -0.0777 eV/atom. Number 6: raw formation energy -0.3252 eV/atom. Number 7: raw formation energy 0.8219 eV/atom. Number 8: raw formation energy 0.0294 eV/atom. Number 9: raw formation energy -0.2473 eV/atom. Number 10: raw formation energy -0.1418 eV/atom. Number 11: raw formation energy -0.1255 eV/atom. Number 12: raw formation energy -0.1133 eV/atom.